BaTb3Ru | PBE | optimized geometry

Summary:
Raw total energy: -5.1198 eV/atom

a b c (Å): 5.553 5.553 5.553
angles (deg): 90.00 90.00 90.00
Space group Pm-3m (No. 221)
One atom of each set of equivalent atoms:
Ba  0.000  0.000  0.000 [1 per cell]
Tb  0.000  0.500  0.500 [3 per cell]
Ru  0.500  0.500  0.500 [1 per cell]